Density functional theory data (GGA-PBE) for a relaxed Sc2Pt2Au crystal.

## Properties
Space group ... P4/mbm (127)
E above lowest polymorph ... 189 meV per atom
Calculated formation energy ... -866 meV per atom

Lattice parameters (Å, degrees): 7.742 7.742 3.163 90.00 90.00 90.00
Element x y z (fractional)
Pt 0.136 0.636 0.500
Pt 0.636 0.864 0.500
Pt 0.864 0.364 0.500
Pt 0.364 0.136 0.500
Au 0.500 0.500 0.000
Au 0.000 0.000 0.000
Sc 0.343 0.843 0.000
Sc 0.157 0.343 0.000
Sc 0.843 0.657 0.000
Sc 0.657 0.157 0.000